Entry 1:
CrReTe2 | PBE-GGA | optimized geometry

a b c (Å): 4.6274 4.6274 4.6274
angles (deg): 60.00 60.00 60.00
Sites, in units of the cell vectors:
Cr: 0.0000 0.0000 0.0000
Re: 0.5000 0.5000 0.5000
Te: 0.2500 0.2500 0.2500
Te: 0.7500 0.7500 0.7500

## Properties
SG: Fm-3m
ΔE_f (raw): 0.67 eV per atom
Raw total energy: -6.420 eV/atom
Total magnetic moment: 0.5 μB/f.u.
N(E_F): 3.121 states/eV per cell

***

Entry 2:
CrReTe2 | PBE-GGA | optimized geometry

a b c (Å): 5.3018 5.3018 3.6444
angles (deg): 106.58 106.58 109.66
Sites, in units of the cell vectors:
Cr: 0.0000 0.0000 0.0000
Re: 0.5000 0.5000 0.0000
Te: 0.0000 0.5000 0.5000
Te: 0.5000 0.0000 0.5000

## Properties
SG: C2/m
ΔE_f (raw): 0.98 eV per atom
Raw total energy: -6.110 eV/atom
Total magnetic moment: 2.5 μB/f.u.
N(E_F): 4.067 states/eV per cell

***

Entry 3:
CrReTe2 | PBE-GGA | optimized geometry

a b c (Å): 8.9613 8.9613 8.9613
angles (deg): 20.71 20.71 20.71
Sites, in units of the cell vectors:
Cr: 0.0000 0.0000 0.0000
Re: 0.5000 0.5000 0.5000
Te: 0.4024 0.4024 0.4024
Te: 0.5976 0.5976 0.5976

## Properties
SG: R-3m
ΔE_f (raw): 0.80 eV per atom
Raw total energy: -6.293 eV/atom
Total magnetic moment: 0.9 μB/f.u.
N(E_F): 3.195 states/eV per cell

***

Entry 4:
CrReTe2 | PBE-GGA | optimized geometry

a b c (Å): 4.8394 4.8394 4.8394
angles (deg): 60.00 60.00 60.00
Sites, in units of the cell vectors:
Cr: 0.0000 0.0000 0.0000
Re: 0.2500 0.2500 0.2500
Te: 0.5000 0.5000 0.5000
Te: 0.7500 0.7500 0.7500

## Properties
SG: F-43m
ΔE_f (raw): 1.13 eV per atom
Raw total energy: -5.957 eV/atom
Total magnetic moment: 3.1 μB/f.u.
N(E_F): 3.522 states/eV per cell

***

Entry 5:
CrReTe2 | PBE-GGA | optimized geometry

a b c (Å): 7.7598 7.7598 7.7598
angles (deg): 152.97 151.10 39.98
Sites, in units of the cell vectors:
Cr: 0.0000 0.0000 0.0000
Re: 0.5000 0.5000 0.0000
Te: 0.1346 0.6346 0.5000
Te: 0.8654 0.3654 0.5000

## Properties
SG: Immm
ΔE_f (raw): 0.23 eV per atom
Raw total energy: -6.856 eV/atom
Total magnetic moment: 1.4 μB/f.u.
N(E_F): 2.105 states/eV per cell

***

Entry 6:
CrRe2Te4 | PBE-GGA | optimized geometry

a b c (Å): 7.4972 7.4972 7.4972
angles (deg): 137.87 137.87 61.10
Sites, in units of the cell vectors:
Cr: 0.0000 0.0000 0.0000
Re: 0.4097 0.4097 0.0000
Re: 0.5903 0.5903 0.0000
Te: 0.0000 0.5000 0.5000
Te: 0.2079 0.2079 0.0000
Te: 0.5000 0.0000 0.5000
Te: 0.7921 0.7921 0.0000

## Properties
SG: I4/mmm
ΔE_f (raw): 0.90 eV per atom
Raw total energy: -5.826 eV/atom
Total magnetic moment: 4.1 μB/f.u.
N(E_F): 8.129 states/eV per cell

***

Entry 7:
Cr4ReTe | PBE-GGA | optimized geometry

a b c (Å): 4.8560 4.8560 4.8560
angles (deg): 60.00 60.00 60.00
Sites, in units of the cell vectors:
Cr: 0.3765 0.3765 0.3765
Cr: 0.3765 0.3765 0.8704
Cr: 0.3765 0.8704 0.3765
Cr: 0.8704 0.3765 0.3765
Re: 0.0000 0.0000 0.0000
Te: 0.7500 0.7500 0.7500

## Properties
SG: F-43m
ΔE_f (raw): 0.43 eV per atom
Raw total energy: -8.580 eV/atom
Total magnetic moment: 0.0 μB/f.u.
N(E_F): 6.275 states/eV per cell

***

Entry 8:
Cr3ReTe | PBE-GGA | optimized geometry

a b c (Å): 4.7573 4.7573 4.7573
angles (deg): 90.00 90.00 90.00
Sites, in units of the cell vectors:
Cr: 0.0000 0.0000 0.5000
Cr: 0.0000 0.5000 0.0000
Cr: 0.5000 0.0000 0.0000
Re: 0.0000 0.0000 0.0000
Te: 0.5000 0.5000 0.5000

## Properties
SG: Pm-3m
ΔE_f (raw): 1.19 eV per atom
Raw total energy: -7.707 eV/atom
Total magnetic moment: 9.4 μB/f.u.
N(E_F): 4.257 states/eV per cell